[1]
Crystalline TbHoZnCo at its relaxed geometry, computed with PBE-GGA.

Output
Energy relative to the lowest polymorph listed for this composition ... 0.15 kcal/mol of atoms
Density ... 9.11 g/cm3

a b c (Å): 4.8697 4.8697 4.8697
angles (deg): 60.00 60.00 60.00
Positions (direct):
Tb1 0.0000 0.0000 0.0000
Ho1 0.5000 0.5000 0.5000
Zn1 0.7500 0.7500 0.7500
Co1 0.2500 0.2500 0.2500

***

[2]
Crystalline HoCoTc at its relaxed geometry, computed with PBE-GGA.

Output
Energy relative to the lowest polymorph listed for this composition ... 0.00 kcal/mol of atoms
Density ... 10.54 g/cm3

a b c (Å): 5.2700 5.2700 5.2700
angles (deg): 123.72 118.55 88.10
Positions (direct):
Ho1 0.3706 0.1206 0.2500
Ho2 0.6294 0.8794 0.7500
Co1 0.0000 0.5000 0.5000
Co2 0.5000 0.5000 0.0000
Tc1 0.0000 0.0000 0.5000
Tc2 0.0000 0.5000 0.0000

***

Energy of formation values (in eV/atom) by entry order: -0.230, -0.186.